# 1
First-principles (GGA-PBE) data for a geometry-optimized LaGe2Ir3 structure, as listed in Alexandria.

Properties
Spin magnetization   0.00 μB per atom
Theoretical density   13170 kg/m³
Energy above the most stable polymorph in this dataset   0.028 eV/atom
D(E_F)   3.431 states/eV/f.u.
Calculated volume   18.09 Å³ per atom
Formation energy   -0.628 eV/atom

Lattice parameters (Å, degrees): 8.535 8.535 10.021 107.09 107.09 27.91
Positions (direct):
La1 0.000 0.000 0.000
La2 0.160 0.160 0.703
La3 0.840 0.840 0.297
Ge1 0.197 0.197 0.127
Ge2 0.362 0.362 0.546
Ge3 0.466 0.466 0.224
Ge4 0.534 0.534 0.776
Ge5 0.638 0.638 0.454
Ge6 0.803 0.803 0.873
Ir1 0.045 0.045 0.334
Ir2 0.217 0.217 0.393
Ir3 0.324 0.324 0.041
Ir4 0.376 0.376 0.798
Ir5 0.500 0.500 0.500
Ir6 0.624 0.624 0.202
Ir7 0.676 0.676 0.959
Ir8 0.783 0.783 0.607
Ir9 0.955 0.955 0.666

=====

# 2
First-principles (GGA-PBE) data for a geometry-optimized MgSbPb2 structure, as listed in Alexandria.

Properties
Spin magnetization   0.00 μB per atom
E_form (uncorrected)   0.02 eV/atom
Theoretical density   8161 kg/m³
Energy above the most stable polymorph in this dataset   0.050 eV/atom
D(E_F)   1.749 states/eV/f.u.
Calculated volume   28.51 Å³ per atom

Lattice parameters (Å, degrees): 5.903 5.903 3.416 90.00 90.00 106.71
Positions (direct):
Mg1 0.000 0.000 0.000
Sb1 0.500 0.500 0.000
Pb1 0.000 0.500 0.500
Pb2 0.500 0.000 0.500

=====

# 3
First-principles (GGA-PBE) data for a geometry-optimized LaNdSmLu structure, as listed in Alexandria.

Properties
Spin magnetization   0.00 μB per atom
Theoretical density   7396 kg/m³
D(E_F)   7.664 states/eV/f.u.
Calculated volume   34.15 Å³ per atom
Formation energy   0.105 eV/atom

Lattice parameters (Å, degrees): 5.781 5.781 5.781 60.00 60.00 60.00
Positions (direct):
La1 0.000 0.000 0.000
Nd1 0.500 0.500 0.500
Sm1 0.250 0.250 0.250
Lu1 0.750 0.750 0.750

=====

# 4
First-principles (GGA-PBE) data for a geometry-optimized ZnSi2SbPb structure, as listed in Alexandria.

Properties
Spin magnetization   0.00 μB per atom
E_form (uncorrected)   0.90 eV/atom
Theoretical density   5324 kg/m³
D(E_F)   3.692 states/eV/f.u.
Calculated volume   28.11 Å³ per atom

Lattice parameters (Å, degrees): 5.282 5.282 5.036 90.00 90.00 90.00
Positions (direct):
Zn1 0.000 0.000 0.000
Si1 0.000 0.500 0.500
Si2 0.500 0.000 0.500
Sb1 0.000 0.000 0.500
Pb1 0.500 0.500 0.000

=====

# 5
First-principles (GGA-PBE) data for a geometry-optimized Ti9In11Ag4 structure, as listed in Alexandria.

Properties
Spin magnetization   0.22 μB per atom
Theoretical density   7428 kg/m³
D(E_F)   22.574 states/eV/f.u.
Calculated volume   19.80 Å³ per atom
Formation energy   0.004 eV/atom

Lattice parameters (Å, degrees): 13.166 13.166 3.067 90.00 90.00 116.66
Positions (direct):
Ti1 0.000 0.000 0.000
Ti2 0.119 0.682 0.000
Ti3 0.301 0.490 0.000
Ti4 0.318 0.881 0.000
Ti5 0.490 0.301 0.000
Ti6 0.510 0.699 0.000
Ti7 0.682 0.119 0.000
Ti8 0.699 0.510 0.000
Ti9 0.881 0.318 0.000
In1 0.091 0.459 0.500
In2 0.118 0.882 0.500
In3 0.280 0.280 0.500
In4 0.313 0.687 0.500
In5 0.459 0.091 0.500
In6 0.500 0.500 0.500
In7 0.541 0.909 0.500
In8 0.687 0.313 0.500
In9 0.720 0.720 0.500
In10 0.882 0.118 0.500
In11 0.909 0.541 0.500
Ag1 0.086 0.259 0.000
Ag2 0.259 0.086 0.000
Ag3 0.741 0.914 0.000
Ag4 0.914 0.741 0.000

=====

# 6
First-principles (GGA-PBE) data for a geometry-optimized Cs3Au structure, as listed in Alexandria.

Properties
Spin magnetization   0.02 μB per atom
Theoretical density   3154 kg/m³
Energy above the most stable polymorph in this dataset   0.000 eV/atom
D(E_F)   3.952 states/eV/f.u.
Calculated volume   78.42 Å³ per atom
Formation energy   -0.180 eV/atom

Lattice parameters (Å, degrees): 9.190 9.190 9.144 100.22 100.22 119.72
Positions (direct):
Cs1 0.073 0.418 0.764
Cs2 0.236 0.236 0.241
Cs3 0.418 0.073 0.764
Cs4 0.582 0.927 0.236
Cs5 0.764 0.764 0.759
Cs6 0.927 0.582 0.236
Au1 0.166 0.834 0.000
Au2 0.834 0.166 0.000

=====

# 7
First-principles (GGA-PBE) data for a geometry-optimized ScCo2CuC structure, as listed in Alexandria.

Properties
Spin magnetization   0.00 μB per atom
Theoretical density   6470 kg/m³
Energy above the most stable polymorph in this dataset   0.019 eV/atom
D(E_F)   3.389 states/eV/f.u.
Calculated volume   12.24 Å³ per atom
Formation energy   -0.063 eV/atom

Lattice parameters (Å, degrees): 3.744 3.744 4.366 90.00 90.00 90.00
Positions (direct):
Sc1 0.000 0.000 0.000
Co1 0.000 0.500 0.500
Co2 0.500 0.000 0.500
Cu1 0.500 0.500 0.000
C1 0.000 0.000 0.500

=====

# 8
First-principles (GGA-PBE) data for a geometry-optimized RbLiLa2 structure, as listed in Alexandria.

Properties
Spin magnetization   0.00 μB per atom
Theoretical density   4174 kg/m³
Energy above the most stable polymorph in this dataset   0.000 eV/atom
D(E_F)   7.218 states/eV/f.u.
Calculated volume   36.82 Å³ per atom
Formation energy   0.576 eV/atom

Lattice parameters (Å, degrees): 5.928 5.928 5.928 60.00 60.00 60.00
Positions (direct):
Rb1 0.000 0.000 0.000
Li1 0.500 0.500 0.500
La1 0.250 0.250 0.250
La2 0.750 0.750 0.750

=====

What did the seventh record say?
First-principles (GGA-PBE) data for a geometry-optimized ScCo2CuC structure, as listed in Alexandria.

Properties
Spin magnetization   0.00 μB per atom
Theoretical density   6470 kg/m³
Energy above the most stable polymorph in this dataset   0.019 eV/atom
D(E_F)   3.389 states/eV/f.u.
Calculated volume   12.24 Å³ per atom
Formation energy   -0.063 eV/atom

Lattice parameters (Å, degrees): 3.744 3.744 4.366 90.00 90.00 90.00
Positions (direct):
Sc1 0.000 0.000 0.000
Co1 0.000 0.500 0.500
Co2 0.500 0.000 0.500
Cu1 0.500 0.500 0.000
C1 0.000 0.000 0.500

=====

Among the records above, which one has the lowest D(E_F)?
MgSbPb2

=====

What is the formula in the second record?
MgSbPb2